Material: K2FeBiO4
Method: DFT, PBE+U
State: optimized geometry

Unit cell a=7.002 b=7.002 c=7.002 alpha=121.73 beta=117.95 gamma=90.31
Fractional coordinates of all 16 atoms:
1 K 0.000 0.000 0.000
2 K 0.500 0.000 0.000
3 K 0.500 0.000 0.500
4 K 0.500 0.500 0.500
5 Fe 0.000 0.000 0.500
6 Fe 0.000 0.500 0.000
7 Bi 0.000 0.500 0.500
8 Bi 0.500 0.500 0.000
9 O 0.186 0.740 0.446
10 O 0.205 0.260 0.946
11 O 0.213 0.232 0.520
12 O 0.213 0.693 0.980
13 O 0.787 0.307 0.020
14 O 0.787 0.768 0.480
15 O 0.795 0.740 0.054
16 O 0.814 0.260 0.554

Results
SG	Imma, No. 74
E	-5.23	eV per atom